No. 1
# AcDyTc2O8 (PBE, optimized geometry)
data_AcDyTc2O8
_chemical_formula_sum 'Ac1 Dy1 Tc2 O8'
_space_group_name_H-M_alt 'P -3 m 1'
_space_group_IT_number 164
_space_group_name_Hall '-P 3 2"'
_cell_length_a 5.9083
_cell_length_b 5.9083
_cell_length_c 7.2531
_cell_angle_alpha 90.00
_cell_angle_beta 90.00
_cell_angle_gamma 120.00
loop_
_atom_site_label
_atom_site_type_symbol
_atom_site_fract_x
_atom_site_fract_y
_atom_site_fract_z
Ac1 Ac 0.0000 0.0000 0.0000
Dy1 Dy 0.0000 0.0000 0.5000
Tc1 Tc 0.3333 0.6667 0.7848
O1 O 0.1583 0.3166 0.7165
O2 O 0.3333 0.6667 0.0330
# Calculated volume, Å³ per atom: 18.3
# ΔE_f (raw), meV per atom: -2129
# Raw total energy, eV/atom: -7.89

No. 2
# ThWSe (PBE, optimized geometry)
data_ThWSe
_chemical_formula_sum 'Th2 W2 Se2'
_space_group_name_H-M_alt 'P 4/n m m'
_space_group_IT_number 129
_cell_length_a 3.857
_cell_length_b 3.857
_cell_length_c 9.401
_cell_angle_alpha 90.00
_cell_angle_beta 90.00
_cell_angle_gamma 90.00
loop_
_space_group_symop_operation_xyz
'x,y,z'
'-x,-y,-z'
'-y+1/2,x,z'
'y+1/2,-x,-z'
'-x+1/2,-y+1/2,z'
'x+1/2,y+1/2,-z'
'y,-x+1/2,z'
'-y,x+1/2,-z'
'x+1/2,-y,-z'
'-x+1/2,y,z'
'-y,-x,-z'
'y,x,z'
'-x,y+1/2,-z'
'x,-y+1/2,z'
'y+1/2,x+1/2,-z'
'-y+1/2,-x+1/2,z'
loop_
_atom_site_label
_atom_site_type_symbol
_atom_site_fract_x
_atom_site_fract_y
_atom_site_fract_z
Th1 Th 0.250 0.250 0.231
W1 W 0.250 0.250 0.565
Se1 Se 0.250 0.250 0.871
# Calculated volume, Å³ per atom: 23.3
# ΔE_f (raw), meV per atom: -352
# Raw total energy, eV/atom: -8.30

No. 3
# In2AgGeS6 (PBE, optimized geometry)
data_In2AgGeS6
_chemical_formula_sum 'In8 Ag4 Ge4 S24'
_space_group_name_H-M_alt 'C 1 2/c 1'
_space_group_IT_number 15
_cell_length_a 11.974
_cell_length_b 13.603
_cell_length_c 6.608
_cell_angle_alpha 90.00
_cell_angle_beta 114.14
_cell_angle_gamma 90.00
loop_
_space_group_symop_operation_xyz
'x,y,z'
'-x,-y,-z'
'-x,y,-z+1/2'
'x,-y,z+1/2'
'x+1/2,y+1/2,z'
'-x+1/2,-y+1/2,-z'
'-x+1/2,y+1/2,-z+1/2'
'x+1/2,-y+1/2,z+1/2'
loop_
_atom_site_label
_atom_site_type_symbol
_atom_site_fract_x
_atom_site_fract_y
_atom_site_fract_z
In1 In 0.119 0.090 0.153
Ag1 Ag 0.000 0.398 0.250
Ge1 Ge 0.000 0.331 0.750
S1 S 0.124 0.086 0.539
S2 S 0.124 0.427 0.651
S3 S 0.128 0.272 0.081
# Calculated volume, Å³ per atom: 24.6
# ΔE_f (raw), meV per atom: -267
# Raw total energy, eV/atom: -4.04

No. 4
# CrFeSbTe2 (PBE, optimized geometry)
data_CrFeSbTe2
_chemical_formula_sum 'Cr1 Fe1 Sb1 Te2'
_space_group_name_H-M_alt 'P 4/m m m'
_space_group_IT_number 123
_space_group_name_Hall '-P 4 2'
_cell_length_a 5.208
_cell_length_b 5.208
_cell_length_c 4.824
_cell_angle_alpha 90.00
_cell_angle_beta 90.00
_cell_angle_gamma 90.00
loop_
_atom_site_label
_atom_site_type_symbol
_atom_site_fract_x
_atom_site_fract_y
_atom_site_fract_z
Cr1 Cr 0.000 0.000 0.000
Fe1 Fe 0.500 0.500 0.500
Sb1 Sb 0.500 0.500 0.000
Te1 Te 0.000 0.500 0.500
# Calculated volume, Å³ per atom: 26.2
# Energy above the most stable polymorph in this dataset, meV/atom: 0.0
# ΔE_f (raw), meV per atom: 645
# Raw total energy, eV/atom: -5.05

No. 5
# NiAgSb (PBE, optimized geometry)
data_NiAgSb
_chemical_formula_sum 'Ni1 Ag1 Sb1'
_space_group_name_H-M_alt 'P 3 m 1'
_space_group_IT_number 156
_cell_length_a 3.2555
_cell_length_b 3.2555
_cell_length_c 6.1974
_cell_angle_alpha 90.00
_cell_angle_beta 90.00
_cell_angle_gamma 120.00
loop_
_space_group_symop_operation_xyz
'x,y,z'
'-y,x-y,z'
'-x+y,-x,z'
'-y,-x,z'
'-x+y,y,z'
'x,x-y,z'
loop_
_atom_site_label
_atom_site_type_symbol
_atom_site_fract_x
_atom_site_fract_y
_atom_site_fract_z
Ni1 Ni 0.0000 0.0000 0.0000
Ag1 Ag 0.3333 0.6667 0.6879
Sb1 Sb 0.6667 0.3333 0.2727
# Calculated volume, Å³ per atom: 19.0
# ΔE_f (raw), meV per atom: 172
# Raw total energy, eV/atom: -4.08

No. 6
# TlPdRh2N (PBE, optimized geometry)
data_TlPdRh2N
_chemical_formula_sum 'Tl1 Pd1 Rh2 N1'
_space_group_name_H-M_alt 'P 4/m m m'
_space_group_IT_number 123
_space_group_name_Hall '-P 4 2'
_cell_length_a 4.114
_cell_length_b 4.114
_cell_length_c 4.374
_cell_angle_alpha 90.00
_cell_angle_beta 90.00
_cell_angle_gamma 90.00
loop_
_atom_site_label
_atom_site_type_symbol
_atom_site_fract_x
_atom_site_fract_y
_atom_site_fract_z
Tl1 Tl 0.000 0.000 0.000
Pd1 Pd 0.500 0.500 0.000
Rh1 Rh 0.000 0.500 0.500
N1 N 0.500 0.500 0.500
# Calculated volume, Å³ per atom: 14.8
# ΔE_f (raw), meV per atom: 194
# Raw total energy, eV/atom: -5.92

No. 7
# PmNdHo3Sc (PBE, optimized geometry)
data_PmNdHo3Sc
_chemical_formula_sum 'Pm4 Nd4 Ho12 Sc4'
_space_group_name_H-M_alt 'C m c m'
_space_group_IT_number 63
_space_group_name_Hall '-C 2c 2'
_cell_length_a 4.997
_cell_length_b 14.970
_cell_length_c 9.980
_cell_angle_alpha 90.00
_cell_angle_beta 90.00
_cell_angle_gamma 90.00
loop_
_atom_site_label
_atom_site_type_symbol
_atom_site_fract_x
_atom_site_fract_y
_atom_site_fract_z
Pm1 Pm 0.000 0.002 0.250
Nd1 Nd 0.000 0.500 0.000
Ho1 Ho 0.000 0.169 0.000
Ho2 Ho 0.000 0.330 0.250
Sc1 Sc 0.000 0.331 0.750
# Calculated volume, Å³ per atom: 31.1
# Calculated formation energy, eV/atom: 0.0402
# Raw total energy, eV/atom: -4.89

No. 8
# Tb3HoAu3 (PBE, optimized geometry)
data_Tb3HoAu3
_chemical_formula_sum 'Tb12 Ho4 Au12'
_space_group_name_H-M_alt 'C 1 2/m 1'
_space_group_IT_number 12
_cell_length_a 9.742
_cell_length_b 10.528
_cell_length_c 7.162
_cell_angle_alpha 90.00
_cell_angle_beta 90.82
_cell_angle_gamma 90.00
loop_
_space_group_symop_operation_xyz
'x,y,z'
'-x,-y,-z'
'-x,y,-z'
'x,-y,z'
'x+1/2,y+1/2,z'
'-x+1/2,-y+1/2,-z'
'-x+1/2,y+1/2,-z'
'x+1/2,-y+1/2,z'
loop_
_atom_site_label
_atom_site_type_symbol
_atom_site_fract_x
_atom_site_fract_y
_atom_site_fract_z
Tb1 Tb 0.000 0.189 0.000
Tb2 Tb 0.000 0.258 0.500
Tb3 Tb 0.178 0.500 0.926
Ho1 Ho 0.243 0.500 0.425
Au1 Au 0.046 0.000 0.298
Au2 Au 0.240 0.265 0.224
# Calculated volume, Å³ per atom: 26.2
# Calculated formation energy, eV/atom: -0.6427
# Raw total energy, eV/atom: -4.69

No. 9
# YAlCl3 (PBE, optimized geometry)
data_YAlCl3
_chemical_formula_sum 'Y1 Al1 Cl3'
_space_group_name_H-M_alt 'P m -3 m'
_space_group_IT_number 221
_space_group_name_Hall '-P 4 2 3'
_cell_length_a 5.333
_cell_length_b 5.333
_cell_length_c 5.333
_cell_angle_alpha 90.00
_cell_angle_beta 90.00
_cell_angle_gamma 90.00
loop_
_atom_site_label
_atom_site_type_symbol
_atom_site_fract_x
_atom_site_fract_y
_atom_site_fract_z
Y1 Y 0.000 0.000 0.000
Al1 Al 0.500 0.500 0.500
Cl1 Cl 0.000 0.000 0.500
# Calculated volume, Å³ per atom: 30.3
# Energy above the most stable polymorph in this dataset, meV/atom: 0.0
# ΔE_f (raw), meV per atom: -1184
# Raw total energy, eV/atom: -4.33

No. 10
# Pm4Nd10Dy (PBE, optimized geometry)
data_Pm4Nd10Dy
_chemical_formula_sum 'Pm8 Nd20 Dy2'
_space_group_name_H-M_alt 'I 4/m'
_space_group_IT_number 87
_space_group_name_Hall '-I 4'
_cell_length_a 12.468
_cell_length_b 12.468
_cell_length_c 7.858
_cell_angle_alpha 90.00
_cell_angle_beta 90.00
_cell_angle_gamma 90.00
loop_
_atom_site_label
_atom_site_type_symbol
_atom_site_fract_x
_atom_site_fract_y
_atom_site_fract_z
Pm1 Pm 0.100 0.701 0.000
Nd1 Nd 0.000 0.500 0.250
Nd2 Nd 0.099 0.199 0.251
Dy1 Dy 0.000 0.000 0.500
# Calculated volume, Å³ per atom: 40.7
# Calculated formation energy, eV/atom: 0.7040
# Raw total energy, eV/atom: -4.05

No. 11
# Pm5Ho4Tl4 (PBE, optimized geometry)
data_Pm5Ho4Tl4
_chemical_formula_sum 'Pm10 Ho8 Tl8'
_space_group_name_H-M_alt 'I 4/m'
_space_group_IT_number 87
_space_group_name_Hall '-I 4'
_cell_length_a 12.546
_cell_length_b 12.546
_cell_length_c 5.072
_cell_angle_alpha 90.00
_cell_angle_beta 90.00
_cell_angle_gamma 90.00
loop_
_atom_site_label
_atom_site_type_symbol
_atom_site_fract_x
_atom_site_fract_y
_atom_site_fract_z
Pm1 Pm 0.000 0.000 0.000
Pm2 Pm 0.104 0.808 0.500
Ho1 Ho 0.094 0.602 0.000
Tl1 Tl 0.098 0.238 0.000
# Calculated volume, Å³ per atom: 30.7
# Calculated formation energy, eV/atom: -0.2506
# Raw total energy, eV/atom: -4.21

No. 12
# K2TiPbSe4 (PBE, optimized geometry)
data_K2TiPbSe4
_chemical_formula_sum 'K4 Ti2 Pb2 Se8'
_space_group_name_H-M_alt 'I -4 2 m'
_space_group_IT_number 121
_space_group_name_Hall 'I -4 2'
_cell_length_a 8.163
_cell_length_b 8.163
_cell_length_c 7.471
_cell_angle_alpha 90.00
_cell_angle_beta 90.00
_cell_angle_gamma 90.00
loop_
_atom_site_label
_atom_site_type_symbol
_atom_site_fract_x
_atom_site_fract_y
_atom_site_fract_z
K1 K 0.000 0.500 0.000
Ti1 Ti 0.000 0.000 0.000
Pb1 Pb 0.000 0.000 0.500
Se1 Se 0.166 0.166 0.802
# Calculated volume, Å³ per atom: 31.1
# ΔE_f (raw), meV per atom: -1049
# Raw total energy, eV/atom: -4.52

Among the records above, which one has the lowest calculated volume?
TlPdRh2N